Entry from the Alexandria database: crystalline CaNdCoCu at its relaxed geometry (GGA-PBE).

The formation energy comes out at 64 meV per atom. The size of the total moment comes out at 0.38 μB/f.u. The calculation puts the total energy at -70.87 eV for the cell shown. Its calculated density is 6.00 g cm⁻³.

a = 6.9762 Å, b = 6.9762 Å, c = 6.9762 Å
α = 90.00°, β = 90.00°, γ = 90.00°
Last column: nearest neighbours and their distance in Å.
Space group F-43m (No. 216)
Symmetry-distinct sites (fractional):
Ca (0.0000, 0.0000, 0.0000) (multiplicity 4)  4 Cu 3.02, 4 Co 3.02
Nd (0.0000, 0.0000, 0.5000) (multiplicity 4)  4 Co 3.02, 4 Cu 3.02
Co (0.2500, 0.2500, 0.2500) (multiplicity 4)  4 Ca 3.02, 4 Nd 3.02
Cu (0.2500, 0.2500, 0.7500) (multiplicity 4)  4 Nd 3.02, 4 Ca 3.02